(1)
Density functional theory data (PBE) for a geometry-optimized Ho4ZnSb structure.

```
Ho4ZnSb
1.0
-1.527 -8.991 -3.427
7.504 -5.346 -3.167
2.975 -7.735 5.121
Ho Zn Sb
16 4 4
direct
0.371 0.371 0.371
0.886 0.371 0.371
0.371 0.886 0.371
0.371 0.371 0.886
0.560 0.560 0.940
0.940 0.940 0.560
0.560 0.940 0.560
0.940 0.560 0.940
0.940 0.560 0.560
0.560 0.940 0.940
0.186 0.186 0.814
0.814 0.814 0.186
0.186 0.814 0.186
0.814 0.186 0.814
0.814 0.186 0.186
0.186 0.814 0.814
0.157 0.157 0.157
0.529 0.157 0.157
0.157 0.529 0.157
0.157 0.157 0.529
0.597 0.597 0.597
0.209 0.597 0.597
0.597 0.209 0.597
0.597 0.597 0.209
```

Summary:
crystal system = cubic
ΔE_f (raw) = -2.75 eV/f.u.


(2)
Density functional theory data (PBE) for a geometry-optimized HoMn2I8 structure.

```
HoMn2I8
1.0
7.110 0.325 0.491
0.617 8.731 0.651
0.503 -0.965 8.709
Ho Mn I
1 2 8
direct
0.000 0.000 0.000
0.334 0.212 0.212
0.666 0.788 0.788
0.785 0.063 0.728
0.215 0.272 0.937
0.707 0.217 0.217
0.293 0.783 0.783
0.785 0.728 0.063
0.215 0.937 0.272
0.217 0.426 0.426
0.783 0.574 0.574
```

Summary:
crystal system = monoclinic
ΔE_f (raw) = -7.74 eV/f.u.


(3)
Density functional theory data (PBE) for a geometry-optimized Sr2TiP2 structure.

```
Sr2TiP2
1.0
8.359 0.000 0.000
0.000 8.359 0.000
0.000 0.000 3.629
Sr P Ti
4 4 2
direct
0.370 0.870 0.000
0.870 0.630 0.000
0.630 0.130 0.000
0.130 0.370 0.000
0.175 0.675 0.500
0.675 0.825 0.500
0.825 0.325 0.500
0.325 0.175 0.500
0.000 0.000 0.000
0.500 0.500 0.000
```

Summary:
crystal system = tetragonal
E_form = -0.09 eV/atom


(4)
Density functional theory data (PBE) for a geometry-optimized Li2ErMg structure.

```
Li2ErMg
1.0
-4.845 -0.512 1.161
-1.326 -1.711 4.517
-2.118 3.089 3.326
Mg Li Er
1 2 1
direct
0.500 0.500 0.500
0.250 0.250 0.250
0.750 0.750 0.750
0.000 0.000 0.000
```

Summary:
crystal system = cubic
E_form = 0.09 eV/atom


(5)
Density functional theory data (PBE) for a geometry-optimized MgBeH3 structure.

```
MgBeH3
1.0
4.737 0.000 0.000
0.000 6.208 0.993
0.000 -1.133 7.084
Mg Be H
4 4 12
direct
0.500 0.000 0.701
0.500 0.000 0.299
0.000 0.500 0.799
0.000 0.500 0.201
0.361 0.635 0.500
0.639 0.365 0.500
0.861 0.865 0.000
0.139 0.135 0.000
0.235 0.704 0.670
0.765 0.296 0.330
0.735 0.796 0.830
0.265 0.204 0.170
0.671 0.615 0.500
0.329 0.385 0.500
0.171 0.885 0.000
0.829 0.115 0.000
0.235 0.704 0.330
0.765 0.296 0.670
0.735 0.796 0.170
0.265 0.204 0.830
```

Summary:
crystal system = orthorhombic
uncorrected energy = -3.09 eV/atom


(6)
Density functional theory data (PBE) for a geometry-optimized KBe4W structure.

```
KBe4W
1.0
0.000 3.360 3.360
3.360 0.000 3.360
3.360 3.360 0.000
K Be W
1 4 1
direct
0.750 0.750 0.750
0.895 0.368 0.368
0.368 0.368 0.895
0.368 0.895 0.368
0.368 0.368 0.368
0.000 0.000 0.000
```

Summary:
crystal system = cubic
E_form = 0.93 eV/atom


(7)
Density functional theory data (PBE) for a geometry-optimized Tb7Nd4Ho structure.

```
Tb7Nd4Ho
1.0
6.085 -1.371 2.872
1.172 5.977 2.460
2.745 -2.009 11.374
Tb Nd Ho
7 4 1
direct
0.804 0.511 0.949
0.196 0.489 0.051
0.057 0.317 0.640
0.943 0.683 0.360
0.278 0.811 0.616
0.500 0.000 0.000
0.722 0.189 0.384
0.529 0.639 0.282
0.471 0.361 0.718
0.691 0.840 0.694
0.309 0.160 0.306
0.000 0.000 0.000
```

Summary:
crystal system = triclinic
E_form = 0.09 eV/atom


(8)
Density functional theory data (PBE) for a geometry-optimized Nb6FeRh structure.

```
Nb6FeRh
1.0
4.411 0.000 1.328
-0.400 4.393 1.329
0.249 0.272 7.163
Nb Fe Rh
6 1 1
direct
0.748 0.748 0.503
0.622 0.122 0.757
0.122 0.622 0.757
0.378 0.878 0.243
0.252 0.252 0.497
0.878 0.378 0.243
0.500 0.500 0.000
0.000 0.000 0.000
```

Summary:
crystal system = tetragonal
E_form = -0.11 eV/atom


(9)
Density functional theory data (PBE) for a geometry-optimized LaTm7 structure.

```
LaTm7
1.0
7.031 0.000 0.000
3.515 6.089 0.000
3.515 2.030 5.740
La Tm
1 7
direct
0.000 0.000 0.000
0.500 0.500 0.000
0.500 0.000 0.500
0.000 0.500 0.500
0.500 0.000 0.000
0.000 0.500 0.000
0.000 0.000 0.500
0.500 0.500 0.500
```

Summary:
crystal system = cubic
E_form = 0.03 eV/atom


(10)
Density functional theory data (PBE) for a geometry-optimized VSbTe2Se structure.

```
VSbTe2Se
1.0
-1.968 3.312 -3.732
-4.637 -2.694 0.054
-1.844 3.251 3.857
Sb Te Se V
1 2 1 1
direct
0.000 0.000 0.500
0.000 0.500 0.000
0.500 0.000 0.000
0.000 0.000 0.000
0.500 0.500 0.500
```

Summary:
crystal system = tetragonal
ΔE_f (raw) = 5.51 eV/f.u.


(11)
Density functional theory data (PBE) for a geometry-optimized CsIn2Bi structure.

```
CsIn2Bi
1.0
-4.924 -7.639 2.909
-0.672 -3.006 -9.032
0.421 -7.245 -2.661
Cs Bi In
2 2 4
direct
0.500 0.500 0.000
0.250 0.750 0.500
0.000 0.000 0.000
0.750 0.250 0.500
0.690 0.125 0.250
0.060 0.625 0.250
0.375 0.310 0.750
0.875 0.940 0.750
```

Summary:
crystal system = tetragonal
E_form = -0.02 eV/atom


(12)
Density functional theory data (PBE) for a geometry-optimized BaAc4SmO8 structure.

```
BaAc4SmO8
1.0
-4.480 6.057 0.238
-4.103 1.893 -6.034
-7.408 -0.792 0.080
Ba Ac Sm O
1 4 1 8
direct
0.002 0.002 0.994
0.619 0.619 0.142
0.001 0.495 0.504
0.495 0.001 0.504
0.001 0.001 0.504
0.378 0.378 0.865
0.265 0.745 0.725
0.745 0.265 0.725
0.265 0.265 0.725
0.250 0.250 0.250
0.748 0.225 0.280
0.225 0.748 0.280
0.748 0.748 0.280
0.759 0.759 0.724
```

Summary:
crystal system = trigonal
ΔE_f (raw) = -42.00 eV/f.u.


(13)
Density functional theory data (PBE) for a geometry-optimized YTmMgSn structure.

```
YTmMgSn
1.0
5.269 0.000 0.000
2.635 4.563 0.000
2.635 1.521 4.302
Y Mg Tm Sn
1 1 1 1
direct
0.750 0.750 0.750
0.500 0.500 0.500
0.250 0.250 0.250
0.000 0.000 0.000
```

Summary:
crystal system = cubic
E_form = -0.39 eV/atom


(14)
Density functional theory data (PBE) for a geometry-optimized Ac6NdDy structure.

```
Ac6NdDy
1.0
6.010 -0.436 1.786
1.434 5.853 1.786
-0.467 -0.340 10.119
Ac Nd Dy
6 1 1
direct
0.462 0.948 0.699
0.948 0.462 0.699
0.052 0.538 0.301
0.538 0.052 0.301
0.639 0.639 0.070
0.361 0.361 0.930
0.500 0.500 0.500
0.000 0.000 0.000
```

Summary:
crystal system = monoclinic
E_form = 0.35 eV/atom


(15)
Density functional theory data (PBE) for a geometry-optimized Nb2V2P structure.

```
Nb2V2P
1.0
3.236 0.000 0.000
0.000 3.236 0.000
1.618 1.618 7.737
P Nb V
1 2 2
direct
0.000 0.000 0.000
0.408 0.408 0.183
0.592 0.592 0.817
0.750 0.250 0.500
0.250 0.750 0.500
```

Summary:
crystal system = tetragonal
E_form = 0.20 eV/atom


(16)
Density functional theory data (PBE) for a geometry-optimized PmPr2Cd2In2 structure.

```
PmPr2Cd2In2
1.0
5.002 0.000 0.000
2.501 4.332 0.000
2.501 1.444 9.291
Pm Pr Cd In
1 2 2 2
direct
0.000 0.000 0.000
0.128 0.128 0.615
0.872 0.872 0.385
0.604 0.604 0.189
0.396 0.396 0.811
0.737 0.737 0.790
0.263 0.263 0.210
```

Summary:
crystal system = trigonal
E_form = -0.30 eV/atom


(17)
Density functional theory data (PBE) for a geometry-optimized CrCd2Ni structure.

```
CrCd2Ni
1.0
-0.761 -4.575 -5.559
3.967 -4.931 3.515
-0.610 -5.738 0.092
Ni Cr Cd
2 2 4
direct
0.000 0.000 0.000
0.750 0.250 0.500
0.500 0.500 0.000
0.250 0.750 0.500
0.643 0.125 0.250
0.107 0.625 0.250
0.375 0.357 0.750
0.875 0.893 0.750
```

Summary:
crystal system = tetragonal
E_form = 0.90 eV/atom


(18)
Density functional theory data (PBE) for a geometry-optimized Pa4AsPS2 structure.

```
Pa4AsPS2
1.0
-2.204 -0.963 3.211
4.128 -5.083 1.309
5.186 2.127 4.198
Pa As P S
4 1 1 2
direct
0.000 0.764 0.739
0.000 0.236 0.261
0.500 0.758 0.254
0.500 0.242 0.746
0.500 0.500 0.000
0.000 0.500 0.500
0.000 0.000 0.000
0.500 0.000 0.500
```

Summary:
crystal system = monoclinic
ΔE_f (raw) = -11.23 eV/f.u.


(19)
Density functional theory data (PBE) for a geometry-optimized Rb2FeIrI6 structure.

```
Rb2FeIrI6
1.0
7.994 0.000 0.000
0.000 7.994 0.000
3.997 3.997 5.636
I Ir Fe Rb
6 1 1 2
direct
0.245 0.245 0.511
0.755 0.755 0.489
0.244 0.244 0.000
0.756 0.756 0.000
0.756 0.244 0.000
0.244 0.756 0.000
0.000 0.000 0.000
0.500 0.500 0.000
0.750 0.250 0.500
0.250 0.750 0.500
```

Summary:
crystal system = tetragonal
ΔE_f (raw) = -4.50 eV/f.u.


(20)
Density functional theory data (PBE) for a geometry-optimized Hg3I structure.

```
Hg3I
1.0
9.224 0.000 0.000
0.000 6.979 0.000
0.000 0.000 4.243
Hg I
6 2
direct
0.227 0.000 0.500
0.773 0.000 0.500
0.727 0.500 0.500
0.273 0.500 0.500
0.000 0.000 0.000
0.500 0.500 0.000
0.500 0.000 0.000
0.000 0.500 0.000
```

Summary:
crystal system = orthorhombic
ΔE_f (raw) = -0.32 eV/f.u.


Number 1: ρ 8.60 g cm⁻³, total magnetic moment 0.000 μB per atom. Number 2: ρ 3.96 g cm⁻³, total magnetic moment 0.818 μB per atom. Number 3: ρ 3.73 g cm⁻³, total magnetic moment 0.435 μB per atom. Number 4: ρ 3.84 g cm⁻³, total magnetic moment 0.165 μB per atom. Number 5: ρ 1.13 g cm⁻³, total magnetic moment 0.000 μB per atom. Number 6: ρ 5.67 g cm⁻³, total magnetic moment 0.000 μB per atom. Number 7: ρ 7.72 g cm⁻³, total magnetic moment 0.000 μB per atom. Number 8: ρ 8.77 g cm⁻³, total magnetic moment 0.109 μB per atom. Number 9: ρ 8.93 g cm⁻³, total magnetic moment 0.000 μB per atom. Number 10: ρ 5.45 g cm⁻³, total magnetic moment 0.018 μB per atom. Number 11: ρ 5.53 g cm⁻³, total magnetic moment 0.000 μB per atom. Number 12: ρ 7.39 g cm⁻³, total magnetic moment 0.048 μB per atom. Number 13: ρ 6.43 g cm⁻³, total magnetic moment 0.000 μB per atom. Number 14: ρ 7.48 g cm⁻³, total magnetic moment 0.000 μB per atom. Number 15: ρ 6.53 g cm⁻³, total magnetic moment 0.000 μB per atom. Number 16: ρ 7.27 g cm⁻³, total magnetic moment 0.000 μB per atom. Number 17: ρ 7.98 g cm⁻³, total magnetic moment 0.000 μB per atom. Number 18: ρ 10.31 g cm⁻³, total magnetic moment 0.000 μB per atom. Number 19: ρ 5.44 g cm⁻³, total magnetic moment 0.326 μB per atom. Number 20: ρ 8.86 g cm⁻³, total magnetic moment 0.000 μB per atom.